Here is crystalline Na2Ni2IO6 at its relaxed geometry from the Alexandria database. Energies are from GGA+U.

Computed properties:
M_tot in μB/f.u.: 5.0
Raw total energy in eV per atom: -4.56
D(E_F) in states/eV/atom: 0.2080

Cell lengths 5.3279, 5.3279, 5.8693 Å; angles 99.58, 99.58, 119.38 degrees
Each line ends with the local moment (μB).
Fractional coordinates of all 11 atoms:
Na (0.8242, 0.1758, 0.0000)  0.00
Na (0.1758, 0.8242, 0.0000)  0.00
Ni (0.3349, 0.6651, 0.5000)  1.76
Ni (0.6651, 0.3349, 0.5000)  1.76
I (0.0000, 0.0000, 0.5000)  0.11
O (0.7533, 0.7533, 0.6977)  0.19
O (0.0633, 0.3904, 0.6969)  0.18
O (0.2467, 0.2467, 0.3023)  0.19
O (0.3904, 0.0633, 0.6969)  0.18
O (0.9367, 0.6096, 0.3031)  0.18
O (0.6096, 0.9367, 0.3031)  0.18